TaCrPdO6 | Alexandria | PBE+U | relaxed; VASP energy = -7.766 eV per atom
1.0
4.678 0.000 0.000
0.000 4.678 0.000
0.000 0.000 9.266
Ta Cr Pd O
2 2 2 12
Cartesian
0.000 0.000 0.000 Ta
2.339 2.339 4.633 Ta
0.000 0.000 3.069 Cr
2.339 2.339 7.702 Cr
0.000 0.000 6.159 Pd
2.339 2.339 1.526 Pd
0.909 0.909 4.591 O
0.913 0.913 1.492 O
0.916 0.916 7.750 O
1.423 3.255 3.117 O
1.426 3.252 6.125 O
1.430 3.248 9.224 O
3.248 1.430 9.224 O
3.252 1.426 6.125 O
3.255 1.423 3.117 O
3.762 3.762 7.750 O
3.765 3.765 1.492 O
3.769 3.769 4.591 O